A plane-wave DFT calculation with PBE was carried out for a relaxed La6Dy2Y crystal.

The formation energy comes out at 0.12 eV/atom. The calculation puts the energy above the lowest structure with this stoichiometry at 60 meV/atom. The calculation puts the total magnetization at 0.00 μB per formula unit.

The space group is Cmmm (No. 65) and the conventional cell measures 9.5067, 17.9202 and 3.7061 Å, with angles of 90.00, 90.00 and 90.00 degrees. Symmetry generates all atoms from La at (0.1722, 0.1656, 0.0000), La at (0.1763, 0.0000, 0.5000), Dy at (0.0000, 0.3268, 0.5000) and Y at (0.0000, 0.5000, 0.0000).